Record 1
## LiIrBrF (PBE)

Data for an optimized crystal structure of LiIrBrF. Values from VASP.

* DOS at the Fermi energy: 3.65 states/eV/cell

```
&SYSTEM
  ibrav = 0, nat = 8, ntyp = 4
/
ATOMIC_SPECIES
Li 6.94 Li.upf
Ir 192.22 Ir.upf
Br 79.90 Br.upf
F 19.00 F.upf
CELL_PARAMETERS angstrom
8.450 0.000 -0.011
0.000 3.008 0.000
-0.986 0.000 5.073
ATOMIC_POSITIONS crystal
Li 0.058 0.000 0.434
Li 0.058 0.500 0.934
Ir 0.719 0.000 0.663
Ir 0.719 0.500 0.163
Br 0.479 0.000 0.923
Br 0.479 0.500 0.423
F 0.107 0.000 0.784
F 0.107 0.500 0.284
```

=====

Record 2
## LiIrBrF (PBE)

Data for an optimized crystal structure of LiIrBrF. Values from VASP.

```
&SYSTEM
  ibrav = 0, nat = 4, ntyp = 4
/
ATOMIC_SPECIES
Li 6.94 Li.upf
Ir 192.22 Ir.upf
Br 79.90 Br.upf
F 19.00 F.upf
CELL_PARAMETERS angstrom
-3.151 0.090 2.957
-1.256 -2.499 -1.263
4.980 -3.720 2.408
ATOMIC_POSITIONS crystal
Li 0.051 0.500 0.026
Ir 0.655 0.000 0.209
Br 0.972 0.500 0.461
F 0.254 0.000 0.942
```

=====

Record 3
## LiIrBrF (PBE)

Data for an optimized crystal structure of LiIrBrF. Values from VASP.

* DOS at the Fermi energy: 1.96 states/eV/cell

```
&SYSTEM
  ibrav = 0, nat = 4, ntyp = 4
/
ATOMIC_SPECIES
Li 6.94 Li.upf
Ir 192.22 Ir.upf
Br 79.90 Br.upf
F 19.00 F.upf
CELL_PARAMETERS angstrom
-1.419 1.136 -2.569
2.107 -2.077 -2.081
-4.370 -5.353 1.645
ATOMIC_POSITIONS crystal
Li 0.125 0.529 0.065
Ir 0.355 0.644 0.658
Br 0.814 0.131 0.551
F 0.635 0.303 0.087
```

=====

Record 4
## LiIrBrF (PBE)

Data for an optimized crystal structure of LiIrBrF. Values from VASP.

* DOS at the Fermi energy: 1.90 states/eV/cell

```
&SYSTEM
  ibrav = 0, nat = 4, ntyp = 4
/
ATOMIC_SPECIES
Li 6.94 Li.upf
Ir 192.22 Ir.upf
Br 79.90 Br.upf
F 19.00 F.upf
CELL_PARAMETERS angstrom
-2.072 -1.739 1.015
1.721 -2.287 -0.412
2.633 0.101 7.575
ATOMIC_POSITIONS crystal
Li 0.939 0.857 0.967
Ir 0.377 0.321 0.219
Br 0.307 0.281 0.510
F 0.445 0.360 0.942
```

=====

Record 5
## LiIrBrF (PBE)

Data for an optimized crystal structure of LiIrBrF. Values from VASP.

* DOS at the Fermi energy: 2.68 states/eV/cell

```
&SYSTEM
  ibrav = 0, nat = 4, ntyp = 4
/
ATOMIC_SPECIES
Li 6.94 Li.upf
Ir 192.22 Ir.upf
Br 79.90 Br.upf
F 19.00 F.upf
CELL_PARAMETERS angstrom
3.138 0.003 0.002
1.527 4.087 0.004
1.517 -0.524 5.891
ATOMIC_POSITIONS crystal
Li 0.792 0.327 0.166
Ir 0.505 0.441 0.644
Br 0.861 0.857 0.520
F 0.390 0.261 0.032
```

=====

Record 6
## LiIrBrF (PBE)

Data for an optimized crystal structure of LiIrBrF. Values from VASP.

* DOS at the Fermi energy: 1.51 states/eV/cell

```
&SYSTEM
  ibrav = 0, nat = 4, ntyp = 4
/
ATOMIC_SPECIES
Li 6.94 Li.upf
Ir 192.22 Ir.upf
Br 79.90 Br.upf
F 19.00 F.upf
CELL_PARAMETERS angstrom
-2.231 1.857 -0.703
-1.319 -0.195 -2.672
-5.633 -5.443 3.135
ATOMIC_POSITIONS crystal
Li 0.277 0.061 0.935
Ir 0.602 0.403 0.290
Br 0.927 0.737 0.526
F 0.945 0.727 0.886
```

=====

Record 7
## LiIrBrF (PBE)

Data for an optimized crystal structure of LiIrBrF. Values from VASP.

* DOS at the Fermi energy: 4.75 states/eV/cell

```
&SYSTEM
  ibrav = 0, nat = 8, ntyp = 4
/
ATOMIC_SPECIES
Li 6.94 Li.upf
Ir 192.22 Ir.upf
Br 79.90 Br.upf
F 19.00 F.upf
CELL_PARAMETERS angstrom
5.893 0.000 0.019
0.000 3.020 0.000
-3.246 0.000 7.384
ATOMIC_POSITIONS crystal
Li 0.892 0.000 0.123
Li 0.892 0.500 0.623
Ir 0.282 0.000 0.019
Ir 0.282 0.500 0.519
Br 0.492 0.000 0.336
Br 0.492 0.500 0.836
F 0.971 0.000 0.760
F 0.971 0.500 0.260
```

=====

Record 8
## LiIrBrF (PBE)

Data for an optimized crystal structure of LiIrBrF. Values from VASP.

* DOS at the Fermi energy: 3.36 states/eV/cell

```
&SYSTEM
  ibrav = 0, nat = 8, ntyp = 4
/
ATOMIC_SPECIES
Li 6.94 Li.upf
Ir 192.22 Ir.upf
Br 79.90 Br.upf
F 19.00 F.upf
CELL_PARAMETERS angstrom
7.541 0.000 0.017
0.000 3.046 0.000
-1.247 0.000 5.130
ATOMIC_POSITIONS crystal
Li 0.871 0.000 0.858
Li 0.871 0.500 0.358
Ir 0.247 0.000 0.318
Ir 0.247 0.500 0.818
Br 0.568 0.000 0.425
Br 0.568 0.500 0.925
F 0.951 0.000 0.219
F 0.951 0.500 0.719
```

=====

The calculation returns the following raw formation energy values, one per record and in order: -693, -649, -621, -843, -616, -690, -646, -856 meV per atom.